Material: KSmLuS3
Method: DFT, PBE
State: relaxed

```
data_KSmLuS3
_chemical_formula_sum 'K4 Sm4 Lu4 S12'
_cell_length_a 4.350
_cell_length_b 14.656
_cell_length_c 10.991
_cell_angle_alpha 90.00
_cell_angle_beta 90.00
_cell_angle_gamma 90.00
_space_group_name_H-M_alt 'C m c m'
_space_group_IT_number 63
_space_group_name_Hall '-C 2c 2'
loop_
_atom_site_label
_atom_site_type_symbol
_atom_site_fract_x
_atom_site_fract_y
_atom_site_fract_z
_atom_site_occupancy
K1 K 0.000 0.238 0.250 1
Sm1 Sm 0.000 0.500 0.000 1
Lu1 Lu 0.000 0.032 0.750 1
S1 S 0.000 0.123 0.557 1
S2 S 0.000 0.440 0.750 1
```

Computed properties:
V = 701 Å³/cell
total DFT energy (no corrections) = -5.43 eV/atom
spin magnetization = 0.0 μB per formula unit

***

Material: KLuSnS3
Method: DFT, PBE
State: relaxed

```
data_KLuSnS3
_chemical_formula_sum 'K4 Lu4 Sn4 S12'
_cell_length_a 3.884
_cell_length_b 16.506
_cell_length_c 11.110
_cell_angle_alpha 90.00
_cell_angle_beta 90.00
_cell_angle_gamma 90.00
_space_group_name_H-M_alt 'C m c m'
_space_group_IT_number 63
_space_group_name_Hall '-C 2c 2'
loop_
_atom_site_label
_atom_site_type_symbol
_atom_site_fract_x
_atom_site_fract_y
_atom_site_fract_z
_atom_site_occupancy
K1 K 0.000 0.179 0.250 1
Lu1 Lu 0.000 0.500 0.000 1
Sn1 Sn 0.000 0.122 0.750 1
S1 S 0.000 0.110 0.501 1
S2 S 0.000 0.486 0.250 1
```

Computed properties:
V = 712 Å³/cell
total DFT energy (no corrections) = -4.94 eV/atom
spin magnetization = 0.0 μB per formula unit

***

Material: KLuSb
Method: DFT, PBE
State: relaxed

```
data_KLuSb
_chemical_formula_sum 'K4 Lu4 Sb4'
_cell_length_a 7.452
_cell_length_b 7.452
_cell_length_c 7.452
_cell_angle_alpha 90.00
_cell_angle_beta 90.00
_cell_angle_gamma 90.00
_space_group_name_H-M_alt 'F -4 3 m'
_space_group_IT_number 216
_space_group_name_Hall 'F -4 2 3'
loop_
_atom_site_label
_atom_site_type_symbol
_atom_site_fract_x
_atom_site_fract_y
_atom_site_fract_z
_atom_site_occupancy
K1 K 0.000 0.000 0.000 1
Lu1 Lu 0.250 0.250 0.250 1
Sb1 Sb 0.000 0.000 0.500 1
```

Computed properties:
V = 414 Å³/cell
total DFT energy (no corrections) = -3.19 eV/atom
spin magnetization = 0.3 μB per formula unit

***

Material: KLuSc
Method: DFT, PBE
State: relaxed

```
data_KLuSc
_chemical_formula_sum 'K4 Lu4 Sc4'
_cell_length_a 7.999
_cell_length_b 7.999
_cell_length_c 7.999
_cell_angle_alpha 90.00
_cell_angle_beta 90.00
_cell_angle_gamma 90.00
_space_group_name_H-M_alt 'F -4 3 m'
_space_group_IT_number 216
_space_group_name_Hall 'F -4 2 3'
loop_
_atom_site_label
_atom_site_type_symbol
_atom_site_fract_x
_atom_site_fract_y
_atom_site_fract_z
_atom_site_occupancy
K1 K 0.000 0.000 0.000 1
Lu1 Lu 0.000 0.000 0.500 1
Sc1 Sc 0.250 0.250 0.250 1
```

Computed properties:
V = 512 Å³/cell
total DFT energy (no corrections) = -2.77 eV/atom
spin magnetization = 1.2 μB per formula unit

***

Material: KLu5Se8
Method: DFT, PBE
State: relaxed

```
data_KLu5Se8
_chemical_formula_sum 'K2 Lu10 Se16'
_cell_length_a 20.770
_cell_length_b 4.051
_cell_length_c 9.866
_cell_angle_alpha 90.00
_cell_angle_beta 104.45
_cell_angle_gamma 90.00
_space_group_name_H-M_alt 'C 1 2/m 1'
_space_group_IT_number 12
loop_
_space_group_symop_operation_xyz
'x,y,z'
'-x,-y,-z'
'-x,y,-z'
'x,-y,z'
'x+1/2,y+1/2,z'
'-x+1/2,-y+1/2,-z'
'-x+1/2,y+1/2,-z'
'x+1/2,-y+1/2,z'
loop_
_atom_site_label
_atom_site_type_symbol
_atom_site_fract_x
_atom_site_fract_y
_atom_site_fract_z
_atom_site_occupancy
K1 K 0.000 0.000 0.000 1
Lu1 Lu 0.000 0.500 0.500 1
Lu2 Lu 0.155 0.000 0.456 1
Lu3 Lu 0.203 0.000 0.844 1
Se1 Se 0.077 0.000 0.653 1
Se2 Se 0.080 0.500 0.306 1
Se3 Se 0.167 0.500 0.997 1
Se4 Se 0.231 0.500 0.649 1
```

Computed properties:
V = 804 Å³/cell
total DFT energy (no corrections) = -5.49 eV/atom
spin magnetization = 0.0 μB per formula unit

***

Material: KLuSnSe3
Method: DFT, PBE
State: relaxed

```
data_KLuSnSe3
_chemical_formula_sum 'K4 Lu4 Sn4 Se12'
_cell_length_a 4.051
_cell_length_b 17.072
_cell_length_c 11.679
_cell_angle_alpha 90.00
_cell_angle_beta 90.00
_cell_angle_gamma 90.00
_space_group_name_H-M_alt 'C m c m'
_space_group_IT_number 63
_space_group_name_Hall '-C 2c 2'
loop_
_atom_site_label
_atom_site_type_symbol
_atom_site_fract_x
_atom_site_fract_y
_atom_site_fract_z
_atom_site_occupancy
K1 K 0.000 0.184 0.250 1
Lu1 Lu 0.000 0.500 0.000 1
Sn1 Sn 0.000 0.118 0.750 1
Se1 Se 0.000 0.112 0.000 1
Se2 Se 0.000 0.492 0.250 1
```

Computed properties:
V = 808 Å³/cell
total DFT energy (no corrections) = -4.51 eV/atom
spin magnetization = 0.0 μB per formula unit

***

Material: KLuSi
Method: DFT, PBE
State: relaxed

```
data_KLuSi
_chemical_formula_sum 'K4 Lu4 Si4'
_cell_length_a 7.200
_cell_length_b 7.200
_cell_length_c 7.200
_cell_angle_alpha 90.00
_cell_angle_beta 90.00
_cell_angle_gamma 90.00
_space_group_name_H-M_alt 'F -4 3 m'
_space_group_IT_number 216
_space_group_name_Hall 'F -4 2 3'
loop_
_atom_site_label
_atom_site_type_symbol
_atom_site_fract_x
_atom_site_fract_y
_atom_site_fract_z
_atom_site_occupancy
K1 K 0.000 0.000 0.000 1
Lu1 Lu 0.000 0.000 0.500 1
Si1 Si 0.250 0.250 0.250 1
```

Computed properties:
energy relative to the lowest polymorph listed for this composition = 0.0 meV per atom
V = 373 Å³/cell
spin magnetization = 0.0 μB per formula unit

***

Material: KSmLu
Method: DFT, PBE
State: relaxed

```
data_KSmLu
_chemical_formula_sum 'K4 Sm4 Lu4'
_cell_length_a 8.268
_cell_length_b 8.268
_cell_length_c 8.268
_cell_angle_alpha 90.00
_cell_angle_beta 90.00
_cell_angle_gamma 90.00
_space_group_name_H-M_alt 'F -4 3 m'
_space_group_IT_number 216
_space_group_name_Hall 'F -4 2 3'
loop_
_atom_site_label
_atom_site_type_symbol
_atom_site_fract_x
_atom_site_fract_y
_atom_site_fract_z
_atom_site_occupancy
K1 K 0.000 0.000 0.000 1
Sm1 Sm 0.000 0.000 0.500 1
Lu1 Lu 0.250 0.250 0.250 1
```

Computed properties:
energy relative to the lowest polymorph listed for this composition = 0.0 meV per atom
V = 565 Å³/cell
spin magnetization = 0.8 μB per formula unit

***

Material: KSmLuTe3
Method: DFT, PBE
State: relaxed

```
data_KSmLuTe3
_chemical_formula_sum 'K4 Sm4 Lu4 Te12'
_cell_length_a 4.645
_cell_length_b 16.308
_cell_length_c 12.049
_cell_angle_alpha 90.00
_cell_angle_beta 90.00
_cell_angle_gamma 90.00
_space_group_name_H-M_alt 'C m c m'
_space_group_IT_number 63
_space_group_name_Hall '-C 2c 2'
loop_
_atom_site_label
_atom_site_type_symbol
_atom_site_fract_x
_atom_site_fract_y
_atom_site_fract_z
_atom_site_occupancy
K1 K 0.000 0.244 0.250 1
Sm1 Sm 0.000 0.500 0.000 1
Lu1 Lu 0.000 0.036 0.750 1
Te1 Te 0.000 0.133 0.552 1
Te2 Te 0.000 0.428 0.750 1
```

Computed properties:
V = 913 Å³/cell
total DFT energy (no corrections) = -4.50 eV/atom
spin magnetization = 0.0 μB per formula unit

***

Material: K2Lu5Sn3
Method: DFT, PBE
State: relaxed

```
data_K2Lu5Sn3
_chemical_formula_sum 'K4 Lu10 Sn6'
_cell_length_a 5.091
_cell_length_b 5.091
_cell_length_c 25.467
_cell_angle_alpha 90.00
_cell_angle_beta 90.00
_cell_angle_gamma 90.00
_space_group_name_H-M_alt 'I 4/m m m'
_space_group_IT_number 139
_space_group_name_Hall '-I 4 2'
loop_
_atom_site_label
_atom_site_type_symbol
_atom_site_fract_x
_atom_site_fract_y
_atom_site_fract_z
_atom_site_occupancy
K1 K 0.000 0.000 0.205 1
Lu1 Lu 0.000 0.000 0.500 1
Lu2 Lu 0.000 0.500 0.083 1
Sn1 Sn 0.000 0.000 0.000 1
Sn2 Sn 0.000 0.000 0.352 1
```

Computed properties:
V = 660 Å³/cell
total DFT energy (no corrections) = -3.98 eV/atom
spin magnetization = 2.8 μB per formula unit

***

Material: KSrLu
Method: DFT, PBE
State: relaxed

```
data_KSrLu
_chemical_formula_sum 'K4 Sr4 Lu4'
_cell_length_a 8.962
_cell_length_b 8.962
_cell_length_c 8.962
_cell_angle_alpha 90.00
_cell_angle_beta 90.00
_cell_angle_gamma 90.00
_space_group_name_H-M_alt 'F -4 3 m'
_space_group_IT_number 216
_space_group_name_Hall 'F -4 2 3'
loop_
_atom_site_label
_atom_site_type_symbol
_atom_site_fract_x
_atom_site_fract_y
_atom_site_fract_z
_atom_site_occupancy
K1 K 0.000 0.000 0.000 1
Sr1 Sr 0.000 0.000 0.500 1
Lu1 Lu 0.250 0.250 0.250 1
```

Computed properties:
energy relative to the lowest polymorph listed for this composition = 0.0 meV per atom
V = 720 Å³/cell
spin magnetization = 0.0 μB per formula unit

***

Material: KSrLuTe3
Method: DFT, PBE
State: relaxed

```
data_KSrLuTe3
_chemical_formula_sum 'K2 Sr2 Lu2 Te6'
_cell_length_a 8.551
_cell_length_b 4.381
_cell_length_c 12.813
_cell_angle_alpha 90.00
_cell_angle_beta 107.76
_cell_angle_gamma 90.00
_space_group_name_H-M_alt 'P 1 21/m 1'
_space_group_IT_number 11
loop_
_space_group_symop_operation_xyz
'x,y,z'
'-x,-y,-z'
'-x,y+1/2,-z'
'x,-y+1/2,z'
loop_
_atom_site_label
_atom_site_type_symbol
_atom_site_fract_x
_atom_site_fract_y
_atom_site_fract_z
_atom_site_occupancy
K1 K 0.014 0.250 0.376 1
Sr1 Sr 0.492 0.750 0.325 1
Lu1 Lu 0.129 0.250 0.914 1
Te1 Te 0.154 0.250 0.147 1
Te2 Te 0.294 0.750 0.510 1
Te3 Te 0.324 0.750 0.860 1
```

Computed properties:
V = 457 Å³/cell
total DFT energy (no corrections) = -4.02 eV/atom
spin magnetization = 0.0 μB per formula unit